Density functional theory data (GGA-PBE) for a relaxed LaPu3Rh3 crystal.

The structure in extended XYZ format:
```
14
Lattice="-2.248 -4.621 -5.340 6.297 1.224 -3.710 3.195 -5.663 3.555" Properties=species:S:1:pos:R:3 pbc="T T T"
La 3.622 -4.530 -2.747
La 0.000 0.000 0.000
Rh 3.172 -2.526 0.850
Rh 6.321 -1.914 -1.005
Rh 1.272 -6.558 -0.003
Rh 1.463 -2.854 -5.860
Rh -0.325 -3.726 -1.781
Rh 2.587 -0.543 -3.190
Pu 1.036 -3.987 0.443
Pu 3.948 -0.804 -0.966
Pu 3.599 -1.392 -5.452
Pu -0.088 -6.297 -2.227
Pu 5.545 -3.635 0.812
Pu 0.450 -2.004 -3.597
```

Results
Raw total energy in hartree per atom: -0.3619
V in Å³ per cell: 406.99
Total moment in μB per formula unit: 16.55
Calculated formation energy in eV/atom: 0.15
DOS at the Fermi energy in states/eV/cell: 43.84